MnInP2O8: optimized geometry, PBE+U.

Computed properties:
**Volume**: 12.86 Å³ per atom
**E_tot**: -6.862 eV per atom
**Fermi-level density of states**: 0.5726 states/eV per atom
**SG**: P-3m1 (164)
**M_tot**: 3.96 μB/cell

a = 5.2748 Å, b = 5.2748 Å, c = 6.4054 Å
α = 90.00°, β = 90.00°, γ = 120.00°
Closest atoms and distances in Å follow each position.
Fractional coordinates of all 12 atoms:
Mn 0.0000 0.0000 0.0000  6 O 2.33
In 0.0000 0.0000 0.5000  6 O 2.15
P 0.3333 0.6667 0.1945  4 O 1.52-1.56
P 0.6667 0.3333 0.8055  4 O 1.52-1.56
O 0.1711 0.3421 0.2689  1 P 1.56
O 0.1711 0.8289 0.2689  1 P 1.56
O 0.3333 0.6667 0.9566  1 P 1.52
O 0.3421 0.1711 0.7311  1 P 1.56
O 0.6579 0.8289 0.2689  1 P 1.56
O 0.6667 0.3333 0.0434  1 P 1.52
O 0.8289 0.1711 0.7311  1 P 1.56
O 0.8289 0.6579 0.7311  1 P 1.56